7
Lattice="2.462 1.421 9.301 -2.462 1.421 9.301 0.000 -2.843 9.301" Properties=species:S:1:pos:R:3 comment="Pm4AlSi2 | Alexandria | GGA-PBE | relaxed" total_energy_ev_per_cell=-36.3 n_ef_per_ev_cell=7.54 pbc="T T T"
Pm 0.000 0.000 3.359
Pm 0.000 0.000 8.190
Pm 0.000 0.000 19.713
Pm 0.000 0.000 24.545
Al 0.000 0.000 13.952
Si 0.000 0.000 11.292
Si 0.000 0.000 16.611

***

14
Lattice="7.579 0.000 0.000 0.000 7.685 0.000 -3.136 0.000 9.226" Properties=species:S:1:pos:R:3 comment="Rb2FeBr4 | Alexandria | GGA-PBE | relaxed" total_energy_ev_per_cell=-51.0 n_ef_per_ev_cell=14.50 pbc="T T T"
Rb 1.455 1.921 0.418
Rb 0.355 1.921 5.310
Rb 4.087 5.764 3.916
Rb 2.987 5.764 8.808
Fe -0.861 5.764 7.312
Fe 5.303 1.921 1.915
Br -2.279 3.850 6.761
Br -2.279 7.677 6.761
Br 2.699 5.764 0.492
Br 1.137 5.764 5.905
Br 3.306 1.921 3.322
Br 1.743 1.921 8.734
Br 6.721 0.007 2.466
Br 6.721 3.835 2.466

***

10
Lattice="1.859 -14.215 0.000 1.859 14.215 0.000 0.000 0.000 4.606" Properties=species:S:1:pos:R:3 comment="PrYAu3 | Alexandria | GGA-PBE | relaxed" total_energy_ev_per_cell=-50.2 ef_ev_per_fu=-4.0 n_ef_per_ev_cell=8.00 pbc="T T T"
Pr 1.859 12.142 3.455
Pr 1.859 -12.142 1.152
Y 1.859 8.338 1.152
Y 1.859 -8.338 3.455
Au 1.859 5.284 1.152
Au 1.859 3.511 3.455
Au 1.859 0.752 3.455
Au 1.859 -0.752 1.152
Au 1.859 -3.511 1.152
Au 1.859 -5.284 3.455

***

5
Lattice="4.541 0.000 0.000 0.000 4.541 0.000 0.000 0.000 4.601" Properties=species:S:1:pos:R:3 comment="ZrSc2InC | Alexandria | GGA-PBE | relaxed" total_energy_ev_per_cell=-36.3 ef_ev_per_fu=-3.2 n_ef_per_ev_cell=2.26 pbc="T T T"
Zr 0.000 0.000 0.000
Sc 0.000 2.271 2.300
Sc 2.271 0.000 2.300
In 2.271 2.271 0.000
C 0.000 0.000 2.300

***

12
Lattice="-2.571 2.571 5.570 2.571 -2.571 5.570 2.571 2.571 -5.570" Properties=species:S:1:pos:R:3 comment="LiTmOs2O8 | Alexandria | GGA-PBE | relaxed" total_energy_ev_per_cell=-86.9 n_ef_per_ev_cell=5.66 pbc="T T T"
Li 0.000 0.000 0.000
Tm 2.571 0.000 2.785
Os 0.000 0.000 5.570
Os 0.000 2.571 2.785
O 1.270 0.921 -1.902
O 1.280 -0.875 4.618
O 1.696 1.292 0.951
O 1.650 -1.302 7.472
O 1.292 3.447 -0.951
O 1.302 1.650 3.668
O 0.875 1.280 6.521
O 0.921 3.873 1.902

***

8
Lattice="6.847 0.000 0.000 0.000 3.950 0.000 -2.278 0.000 6.473" Properties=species:S:1:pos:R:3 comment="ErUPa2P4 | Alexandria | GGA-PBE | relaxed" total_energy_ev_per_cell=-66.9 ef_ev_per_fu=-10.4 n_ef_per_ev_cell=11.75 pbc="T T T"
Er 0.000 0.000 0.000
U -1.139 1.975 3.236
Pa 2.284 0.000 3.236
Pa 3.423 1.975 0.000
P -0.014 0.000 4.849
P 1.131 1.975 1.620
P 3.437 1.975 4.852
P 4.583 0.000 1.624

***

4
Lattice="4.203 0.000 0.000 0.000 4.203 0.000 0.000 0.000 3.803" Properties=species:S:1:pos:R:3 comment="HfNbIr2 | Alexandria | GGA-PBE | relaxed" total_energy_ev_per_cell=-40.3 ef_ev_per_fu=-2.6 n_ef_per_ev_cell=3.93 pbc="T T T"
Hf 0.000 0.000 0.000
Nb 2.102 2.102 0.000
Ir 0.000 2.102 1.902
Ir 2.102 0.000 1.902

***

8
Lattice="5.948 0.000 0.000 0.000 5.948 0.000 0.000 0.000 5.948" Properties=species:S:1:pos:R:3 comment="PBr | Alexandria | GGA-PBE | relaxed" total_energy_ev_per_cell=-22.0 polymorph_energy_ev_per_atom=0.9243 n_ef_per_ev_cell=5.22 pbc="T T T"
P 1.014 1.014 1.014
P 1.960 4.934 3.988
P 3.988 1.960 4.934
P 4.934 3.988 1.960
Br 0.680 3.654 5.268
Br 2.294 2.294 2.294
Br 3.654 5.268 0.680
Br 5.268 0.680 3.654

***

5
Lattice="4.742 0.000 0.000 0.000 4.742 0.000 0.000 0.000 5.239" Properties=species:S:1:pos:R:3 comment="TaTcTeRh2 | Alexandria | GGA-PBE | relaxed" total_energy_ev_per_cell=-33.6 n_ef_per_ev_cell=3.44 pbc="T T T"
Ta 0.000 0.000 0.000
Tc 2.371 2.371 2.619
Te 0.000 0.000 2.619
Rh 0.000 2.371 0.000
Rh 2.371 0.000 0.000

***

6
Lattice="3.481 0.000 0.000 -1.741 3.015 0.000 0.000 0.000 13.372" Properties=species:S:1:pos:R:3 comment="LaPuTc | Alexandria | GGA-PBE | relaxed" total_energy_ev_per_cell=-57.4 ef_ev_per_fu=0.9 polymorph_energy_ev_per_atom=0.2422 n_ef_per_ev_cell=8.66 pbc="T T T"
La 0.000 0.000 1.909
La 0.000 0.000 11.463
Pu 0.000 2.010 7.337
Pu 1.741 1.005 6.035
Tc 0.000 2.010 4.094
Tc 1.741 1.005 9.278

***

13
Lattice="5.553 3.206 4.524 -5.553 3.206 4.524 0.000 -6.412 4.524" Properties=species:S:1:pos:R:3 comment="Pm8Dy4Ho | Alexandria | GGA-PBE | relaxed" total_energy_ev_per_cell=-54.9 ef_ev_per_fu=6.1 n_ef_per_ev_cell=20.34 pbc="T T T"
Pm 0.000 0.000 3.261
Pm 0.000 -3.329 5.608
Pm -2.883 1.665 5.608
Pm -2.883 -1.665 7.964
Pm 2.883 1.665 5.608
Pm 2.883 -1.665 7.964
Pm 0.000 3.329 7.964
Pm 0.000 0.000 10.311
Dy 0.000 0.000 0.000
Dy -2.776 -1.603 4.524
Dy -2.776 1.603 9.048
Dy 0.000 3.206 4.524
Ho 0.000 0.000 6.786

***

9
Lattice="-3.509 3.509 5.431 3.509 -3.509 5.431 3.509 3.509 -5.431" Properties=species:S:1:pos:R:3 comment="Sr2AgHg4Bi2 | Alexandria | GGA-PBE | relaxed" total_energy_ev_per_cell=-18.1 ef_ev_per_fu=-3.0 n_ef_per_ev_cell=6.17 pbc="T T T"
Sr 3.509 0.000 2.715
Sr 0.000 3.509 2.715
Ag 0.000 0.000 0.000
Hg 1.961 1.961 0.000
Hg 1.548 -1.548 5.431
Hg -1.548 1.548 5.431
Hg 1.548 1.548 5.431
Bi 0.000 0.000 2.934
Bi 0.000 0.000 7.928